(1)
A relaxed structure of SrGaOs3, computed with GGA-PBEsol.

Values from the calculation:
Fermi-level density of states in states/eV/f.u.: 7.91
M_tot in μB/f.u.: 4.278
Energy of formation from the pure elements in eV per formula unit: 18.4

a b c (Å): 4.8318 4.8318 4.8318
angles (deg): 90.00 90.00 90.00
With the nearest neighbours (Å) after each atom.
Space group Pm-3m (No. 221)
Inequivalent atoms, fractional coordinates:
Sr1 0.0000 0.0000 0.0000 [1 per cell]  6 Os 2.42
Ga1 0.5000 0.5000 0.5000 [1 per cell]  12 Os 3.42
Os1 0.0000 0.0000 0.5000 [3 per cell]  2 Sr 2.42

***

(2)
A relaxed structure of Mn2CdIr, computed with GGA-PBEsol.

Values from the calculation:
Fermi-level density of states in states/eV/f.u.: 4.45
M_tot in μB/f.u.: 2.860
Energy of formation from the pure elements in eV per formula unit: 1.5

a b c (Å): 8.8085 2.7394 4.7673
angles (deg): 90.00 100.45 90.00
With the nearest neighbours (Å) after each atom.
Space group C2/m (No. 12)
Inequivalent atoms, fractional coordinates:
Mn1 0.2402 0.0000 0.1900 [4 per cell]  2 Mn 2.30, 2 Ir 2.55
Cd1 0.0000 0.0000 0.5000 [2 per cell]  2 Cd 2.74, 4 Ir 2.75, 6 Mn 2.79-2.84
Ir1 0.0000 0.5000 0.0000 [2 per cell]  6 Mn 2.55-2.61, 2 Ir 2.74, 4 Cd 2.75

***

(3)
A relaxed structure of AsP2Au, computed with GGA-PBEsol.

Values from the calculation:
Fermi-level density of states in states/eV/f.u.: 1.75
M_tot in μB/f.u.: 0.000
Energy of formation from the pure elements in eV per formula unit: 1.2

a b c (Å): 3.1178 3.6328 12.2593
angles (deg): 90.00 90.00 90.00
With the nearest neighbours (Å) after each atom.
Space group Imm2 (No. 44)
Inequivalent atoms, fractional coordinates:
As1 0.0000 0.0000 0.0000 [2 per cell]  2 Au 2.67, 4 P 2.75
P1 0.0000 0.0000 0.6103 [2 per cell]  2 P 2.25
P2 0.0000 0.5000 0.2421 [2 per cell]  2 P 2.25
Au1 0.0000 0.5000 0.8403 [2 per cell]  2 As 2.67, 4 P 2.68

***

(4)
A relaxed structure of ZnHgRh3, computed with GGA-PBEsol.

Values from the calculation:
Fermi-level density of states in states/eV/f.u.: 10.71
M_tot in μB/f.u.: 1.920
Energy of formation from the pure elements in eV per formula unit: 9.3

a b c (Å): 4.8385 4.8385 4.8385
angles (deg): 90.00 90.00 90.00
With the nearest neighbours (Å) after each atom.
Space group Pm-3m (No. 221)
Inequivalent atoms, fractional coordinates:
Zn1 0.0000 0.0000 0.0000 [1 per cell]  12 Rh 3.42
Hg1 0.5000 0.5000 0.5000 [1 per cell]  6 Rh 2.42
Rh1 0.0000 0.5000 0.5000 [3 per cell]  2 Hg 2.42

***

(5)
A relaxed structure of Zn2NiCl, computed with GGA-PBEsol.

Values from the calculation:
Fermi-level density of states in states/eV/f.u.: 2.29
Excess energy over the best structure of this formula in the dataset in kJ/mol of atoms: 11.5
Energy relative to the elements, uncorrected in eV per atom: 0.187
M_tot in μB/f.u.: 0.000

a b c (Å): 2.8136 3.9976 5.2735
angles (deg): 90.00 90.00 90.00
With the nearest neighbours (Å) after each atom.
Space group Pmmm (No. 47)
Inequivalent atoms, fractional coordinates:
Zn1 0.0000 0.0000 0.0000 [1 per cell]  4 Zn 2.44
Zn2 0.5000 0.5000 0.0000 [1 per cell]  4 Zn 2.44
Ni1 0.0000 0.5000 0.5000 [1 per cell]  4 Cl 2.44
Cl1 0.5000 0.0000 0.5000 [1 per cell]  4 Ni 2.44

***

(6)
A relaxed structure of ScAs2Ir, computed with GGA-PBEsol.

Values from the calculation:
Fermi-level density of states in states/eV/f.u.: 2.30
Excess energy over the best structure of this formula in the dataset in kJ/mol of atoms: 2.1
M_tot in μB/f.u.: 0.000
Energy of formation from the pure elements in eV per formula unit: -2.1

a b c (Å): 3.5373 3.5373 5.4218
angles (deg): 90.00 90.00 90.00
With the nearest neighbours (Å) after each atom.
Space group P4mm (No. 99)
Inequivalent atoms, fractional coordinates:
Sc1 0.0000 0.0000 0.0000 [1 per cell]  6 As 2.64-2.75
As1 0.0000 0.0000 0.5066 [1 per cell]  4 Ir 2.62, 2 Sc 2.68-2.75
As2 0.5000 0.5000 0.1556 [1 per cell]  4 Sc 2.64, 2 Ir 2.67-2.75
Ir1 0.5000 0.5000 0.6477 [1 per cell]  6 As 2.62-2.75